# 1
This record from the Alexandria database describes Sc2BeIrN after structural relaxation. The functional is GGA-PBE.

Cell lengths 4.7025, 3.8381, 4.7025 Å; angles 90.00, 90.00, 90.00 degrees
With the nearest neighbours (Å) after each atom.
Positions (direct):
Sc 0.5000 0.0000 0.0000  2 Be 2.35
Sc 0.0000 0.0000 0.5000  2 Be 2.35
Be 0.0000 0.0000 0.0000  2 Ir 1.92
Ir 0.0000 0.5000 0.0000  2 Be 1.92
N 0.5000 0.5000 0.5000  8 Sc 3.03, 4 Ir 3.33

Properties
Space group: P4/mmm (123)
E above lowest polymorph: 1.590 eV/atom
Uncorrected formation energy: 272.0 kJ/mol of formula units
N(E_F): 0.67 states/eV per atom

=====

# 2
This record from the Alexandria database describes HfPa2Bi3 after structural relaxation. The functional is GGA-PBE.

Cell lengths 8.0568, 7.5384, 7.2803 Å; angles 80.73, 72.46, 57.70 degrees
With the nearest neighbours (Å) after each atom.
Positions (direct):
Hf 0.6904 0.6192 0.0000  6 Bi 2.94-3.05
Hf 0.3096 0.3808 0.0000  6 Bi 2.94-3.05
Bi 0.2953 0.0000 0.2020  2 Hf 3.05, 4 Pa 3.10-3.20
Bi 0.4412 0.6511 0.7443  2 Hf 2.94-3.02, 4 Pa 3.10-3.26
Bi 0.7047 0.0000 0.7980  2 Hf 3.05, 4 Pa 3.10-3.20
Bi 0.0922 0.3489 0.7443  2 Hf 2.94-3.02, 4 Pa 3.10-3.26
Bi 0.5588 0.3489 0.2557  2 Hf 2.94-3.02, 4 Pa 3.10-3.26
Bi 0.9078 0.6511 0.2557  2 Hf 2.94-3.02, 4 Pa 3.10-3.26
Pa 0.5000 0.0000 0.5000  6 Bi 3.10
Pa 0.8641 0.2718 0.5000  6 Bi 3.20-3.24, 1 Pa 3.46
Pa 0.1359 0.7282 0.5000  6 Bi 3.20-3.24, 1 Pa 3.46
Pa 0.0000 0.0000 0.0000  6 Bi 3.15-3.26

Properties
Space group: C2/m (12)
Energy of formation from the pure elements: -0.006 eV/atom
N(E_F): 1.61 states/eV per atom

=====

# 3
This record from the Alexandria database describes ScP2Rh after structural relaxation. The functional is GGA-PBE.

Cell lengths 2.9183, 3.1458, 6.5327 Å; angles 90.00, 90.00, 90.00 degrees
With the nearest neighbours (Å) after each atom.
Positions (direct):
Rh 0.5000 0.5000 0.2500  8 P 2.61, 2 Rh 2.92
P 0.0000 0.0000 0.4785  4 Rh 2.61, 4 Sc 2.78, 2 P 2.92
P 0.0000 0.0000 0.0215  4 Rh 2.61, 4 Sc 2.78, 2 P 2.92
Sc 0.5000 0.5000 0.7500  8 P 2.78, 2 Sc 2.92

Properties
Space group: Pmmm (47)
E above lowest polymorph: 0.439 eV/atom
Energy of formation from the pure elements: -0.482 eV/atom
N(E_F): 0.78 states/eV per atom

=====

# 4
This record from the Alexandria database describes Rb2LaPtI6 after structural relaxation. The functional is GGA-PBE.

Cell lengths 8.7102, 8.7102, 8.5063 Å; angles 59.20, 59.20, 90.00 degrees
With the nearest neighbours (Å) after each atom.
Positions (direct):
Pt 0.0000 0.0000 0.0000  6 I 2.72-3.01
I 0.2320 0.2320 0.5361  1 Pt 2.72
I 0.2441 0.7559 0.0000  1 Pt 3.01, 1 La 3.15
I 0.2441 0.2441 0.0000  1 Pt 3.01, 1 La 3.15
I 0.7559 0.2441 0.0000  1 Pt 3.01, 1 La 3.15
I 0.7680 0.7680 0.4639  1 Pt 2.72
I 0.7559 0.7559 0.0000  1 Pt 3.01, 1 La 3.15
Rb 0.2500 0.7500 0.5000  12 I 4.25-4.36
Rb 0.7500 0.2500 0.5000  12 I 4.25-4.36
La 0.5000 0.5000 0.0000  6 I 3.15

Properties
Space group: I4/mmm (139)
Uncorrected formation energy: -976.4 kJ/mol of formula units
N(E_F): 0.26 states/eV per atom

=====

# 5
This record from the Alexandria database describes LiTaBe after structural relaxation. The functional is GGA-PBE.

Cell lengths 4.2497, 4.2497, 4.9866 Å; angles 90.00, 90.00, 120.00 degrees
With the nearest neighbours (Å) after each atom.
Positions (direct):
Ta 0.6667 0.3333 0.7500  5 Be 2.45-2.49
Ta 0.3333 0.6667 0.2500  5 Be 2.45-2.49
Be 0.6667 0.3333 0.2500  5 Ta 2.45-2.49
Be 0.3333 0.6667 0.7500  5 Ta 2.45-2.49
Li 0.0000 0.0000 0.0000  2 Li 2.49, 6 Ta 2.75, 6 Be 2.75
Li 0.0000 0.0000 0.5000  2 Li 2.49, 6 Ta 2.75, 6 Be 2.75

Properties
Space group: P6_3/mmc (194)
E above lowest polymorph: 0.171 eV/atom
Energy of formation from the pure elements: 0.300 eV/atom
N(E_F): 0.15 states/eV per atom

=====

# 6
This record from the Alexandria database describes Sm2ZrCd after structural relaxation. The functional is GGA-PBE.

Cell lengths 3.2811, 3.2811, 12.1458 Å; angles 82.24, 82.24, 60.00 degrees
With the nearest neighbours (Å) after each atom.
Positions (direct):
Cd 0.5000 0.5000 0.5000  6 Cd 3.28, 6 Sm 3.37
Sm 0.9107 0.9107 0.2679  1 Zr 3.21, 6 Sm 3.28, 3 Cd 3.37
Sm 0.0893 0.0893 0.7321  1 Zr 3.21, 6 Sm 3.28, 3 Cd 3.37
Zr 0.0000 0.0000 0.0000  2 Sm 3.21, 6 Zr 3.28

Properties
Space group: R-3m (166)
E above lowest polymorph: 0.353 eV/atom
Energy of formation from the pure elements: 0.268 eV/atom
N(E_F): 1.35 states/eV per atom

=====

# 7
This record from the Alexandria database describes KPuIn4O8 after structural relaxation. The functional is GGA-PBE.

Cell lengths 6.6517, 6.6517, 6.7848 Å; angles 60.65, 60.65, 60.00 degrees
With the nearest neighbours (Å) after each atom.
Positions (direct):
O 0.7544 0.7544 0.7367  4 In 2.32-2.33
O 0.7725 0.2648 0.6979  1 Pu 2.15, 2 In 2.21
O 0.2648 0.7725 0.6979  1 Pu 2.15, 2 In 2.21
O 0.2397 0.2397 0.2808  3 In 2.28, 1 Pu 2.35
O 0.2276 0.7385 0.2954  3 In 2.12-2.21
O 0.7385 0.7385 0.2954  3 In 2.12-2.21
O 0.7385 0.2276 0.2954  3 In 2.12-2.21
O 0.2648 0.2648 0.6979  1 Pu 2.15, 2 In 2.21
In 0.9999 0.5024 0.4978  6 O 2.21-2.33
In 0.6161 0.6161 0.1516  4 O 2.12-2.32
In 0.9999 0.9999 0.4978  6 O 2.21-2.33
In 0.5024 0.9999 0.4978  6 O 2.21-2.33
Pu 0.3796 0.3796 0.8613  4 O 2.15-2.35
K 0.0012 0.0012 0.9963  6 O 2.52

Properties
Space group: R3m (160)
Uncorrected formation energy: -2275.3 kJ/mol of formula units
N(E_F): 0.49 states/eV per atom

=====

# 8
This record from the Alexandria database describes TcRu2Cl after structural relaxation. The functional is GGA-PBE.

Cell lengths 3.9960, 2.8516, 5.2377 Å; angles 73.40, 90.00, 90.00 degrees
With the nearest neighbours (Å) after each atom.
Positions (direct):
Ru 0.5000 0.2518 0.2534  2 Cl 2.58-2.61, 4 Tc 2.74-2.79, 6 Ru 2.78-2.85
Ru 0.0000 0.8799 0.9857  2 Cl 2.43, 1 Tc 2.62
Tc 0.0000 0.6330 0.5069  2 Cl 2.44, 1 Ru 2.62
Cl 0.5000 0.7353 0.7540  4 Ru 2.43-2.61, 2 Tc 2.44

Properties
Space group: Pm (6)
E above lowest polymorph: 0.268 eV/atom
Uncorrected formation energy: 228.5 kJ/mol of formula units
N(E_F): 1.20 states/eV per atom

=====

# 9
This record from the Alexandria database describes Y2MnCo after structural relaxation. The functional is GGA-PBE.

Cell lengths 3.7017, 4.2995, 5.7640 Å; angles 68.12, 90.00, 90.00 degrees
With the nearest neighbours (Å) after each atom.
Positions (direct):
Mn 0.5000 0.5671 0.7413  2 Co 2.30
Y 0.0000 0.9748 0.9259  3 Co 3.00-3.19, 4 Mn 3.00
Y 0.5000 0.2643 0.3464  4 Co 2.93-2.94, 3 Mn 3.01-3.24
Co 0.0000 0.6939 0.4864  2 Mn 2.30

Properties
Space group: Amm2 (38)
E above lowest polymorph: 0.025 eV/atom
Energy of formation from the pure elements: -0.035 eV/atom
N(E_F): 1.07 states/eV per atom

=====

# 10
This record from the Alexandria database describes TmPu2Hg6 after structural relaxation. The functional is GGA-PBE.

Cell lengths 6.0336, 6.0335, 6.0335 Å; angles 92.91, 92.91, 92.91 degrees
With the nearest neighbours (Å) after each atom.
Positions (direct):
Hg 0.8352 0.5001 0.1649  3 Hg 2.88-2.93
Hg 0.5000 0.1648 0.8352  3 Hg 2.88-2.93
Hg 0.1648 0.8351 0.4999  3 Hg 2.88-2.93
Hg 0.5000 0.8352 0.1648  3 Hg 2.88-2.93
Hg 0.1648 0.4999 0.8351  3 Hg 2.88-2.93
Hg 0.8352 0.1649 0.5001  3 Hg 2.88-2.93
Pu 0.6601 0.6602 0.6602  1 Pu 3.17, 12 Hg 3.33-3.38, 1 Tm 3.37
Pu 0.3399 0.3398 0.3398  1 Pu 3.17, 12 Hg 3.33-3.38, 1 Tm 3.37
Tm 0.0000 0.0000 0.0000  12 Hg 3.34, 2 Pu 3.37

Properties
Space group: R-3m (166)
Energy of formation from the pure elements: -0.213 eV/atom
N(E_F): 2.43 states/eV per atom

=====

# 11
This record from the Alexandria database describes Mg5NiRh after structural relaxation. The functional is GGA-PBE.

Cell lengths 5.1808, 5.1808, 9.7963 Å; angles 100.54, 100.54, 87.49 degrees
With the nearest neighbours (Å) after each atom.
Positions (direct):
Mg 0.1066 0.8934 0.7500  1 Ni 2.56, 2 Rh 2.57, 2 Mg 2.85
Mg 0.4869 0.7638 0.0344  2 Mg 2.67-2.70, 1 Rh 2.75, 2 Ni 2.80-2.81
Mg 0.8934 0.1066 0.2500  1 Ni 2.56, 2 Rh 2.57, 2 Mg 2.85
Mg 0.5131 0.2362 0.9656  2 Mg 2.67-2.70, 1 Rh 2.75, 2 Ni 2.80-2.81
Mg 0.0372 0.5554 0.1518  1 Ni 2.64, 3 Mg 2.85-2.95, 1 Rh 2.94
Mg 0.7638 0.4869 0.5344  2 Mg 2.67-2.70, 1 Rh 2.75, 2 Ni 2.80-2.81
Mg 0.9628 0.4446 0.8482  1 Ni 2.64, 3 Mg 2.85-2.95, 1 Rh 2.94
Mg 0.4446 0.9628 0.3482  1 Ni 2.64, 3 Mg 2.85-2.95, 1 Rh 2.94
Mg 0.2362 0.5131 0.4656  2 Mg 2.67-2.70, 1 Rh 2.75, 2 Ni 2.80-2.81
Mg 0.5554 0.0372 0.6518  1 Ni 2.64, 3 Mg 2.85-2.95, 1 Rh 2.94
Rh 0.0000 0.0000 0.5000  4 Mg 2.57-2.75
Rh 0.0000 0.0000 0.0000  4 Mg 2.57-2.75
Ni 0.5354 0.4646 0.2500  7 Mg 2.56-2.81
Ni 0.4646 0.5354 0.7500  7 Mg 2.56-2.81

Properties
Space group: C2/c (15)
Energy of formation from the pure elements: -0.082 eV/atom
N(E_F): 0.53 states/eV per atom

=====

# 12
This record from the Alexandria database describes Pr8Rh3Br3N after structural relaxation. The functional is GGA-PBE.

Cell lengths 8.1624, 8.1780, 9.0906 Å; angles 116.73, 90.00, 119.94 degrees
With the nearest neighbours (Å) after each atom.
Positions (direct):
Pr 0.7835 0.0286 0.3128  1 N 2.62, 2 Rh 2.85-2.86
Pr 0.7331 0.4662 0.6998  3 Rh 2.82-2.83
Pr 0.7549 0.9714 0.6872  1 N 2.62, 2 Rh 2.85-2.86
Pr 0.2172 0.4345 0.6875  1 N 2.63, 2 Rh 2.85
Pr 0.7828 0.5655 0.3125  1 N 2.63, 2 Rh 2.85
Pr 0.2669 0.5338 0.3002  3 Rh 2.82-2.83
Pr 0.2165 0.9714 0.6872  1 N 2.62, 2 Rh 2.85-2.86
Pr 0.2451 0.0286 0.3128  1 N 2.62, 2 Rh 2.85-2.86
Br 0.0000 0.5000 0.0000  6 Pr 3.32-3.33
Br 0.0000 0.0000 0.0000  6 Pr 3.32-3.33
Br 0.5000 0.5000 0.0000  6 Pr 3.32-3.33
Rh 0.5000 0.0000 0.5000  6 Pr 2.83-2.85
Rh 0.0000 0.5000 0.5000  6 Pr 2.82-2.86
Rh 0.5000 0.5000 0.5000  6 Pr 2.82-2.86
N 0.0000 0.0000 0.5000  6 Pr 2.62-2.63

Properties
Space group: C2/m (12)
Uncorrected formation energy: -1324.9 kJ/mol of formula units
N(E_F): 0.81 states/eV per atom